[1]
{"formula": "Ce2Th5", "functional": "PBE-GGA", "state": "optimized geometry", "e_form_ev_per_fu": 0.11, "energy_ev_per_fu": -48.85, "crystal_system": "tetragonal", "lattice": [[3.531, 0.000, 0.000], [0.000, 3.531, 0.000], [0.000, 0.000, 34.438]], "species": ["Ce", "Ce", "Ce", "Ce", "Th", "Th", "Th", "Th", "Th", "Th", "Th", "Th", "Th", "Th"], "fractional_positions": [[0.000, 0.000, 0.217], [0.000, 0.000, 0.783], [0.500, 0.500, 0.283], [0.500, 0.500, 0.717], [0.000, 0.000, 0.074], [0.000, 0.000, 0.353], [0.000, 0.000, 0.500], [0.000, 0.000, 0.647], [0.000, 0.000, 0.926], [0.500, 0.500, 0.000], [0.500, 0.500, 0.147], [0.500, 0.500, 0.426], [0.500, 0.500, 0.574], [0.500, 0.500, 0.853]]}

[2]
{"formula": "Ce5Th4", "functional": "PBE-GGA", "state": "optimized geometry", "e_form_ev_per_fu": 0.18, "relative_energy_ev_per_fu": 0.00, "energy_ev_per_fu": -59.17, "crystal_system": "tetragonal", "lattice": [[-5.181, 5.181, 2.449], [5.181, -5.181, 2.449], [5.181, 5.181, -2.449]], "species": ["Ce", "Ce", "Ce", "Ce", "Ce", "Th", "Th", "Th", "Th"], "fractional_positions": [[0.000, 0.000, 0.000], [0.000, 0.335, 0.335], [0.000, 0.665, 0.665], [0.335, 0.000, 0.335], [0.665, 0.000, 0.665], [0.333, 0.333, 0.666], [0.333, 0.667, 0.000], [0.667, 0.333, 0.000], [0.667, 0.667, 0.334]]}

[3]
{"formula": "Ce5Th4", "functional": "PBE-GGA", "state": "optimized geometry", "e_form_ev_per_fu": 1.21, "relative_energy_ev_per_fu": 1.03, "energy_ev_per_fu": -58.13, "crystal_system": "tetragonal", "lattice": [[-6.201, 6.201, 1.722], [6.201, -6.201, 1.722], [6.201, 6.201, -1.722]], "species": ["Ce", "Ce", "Ce", "Ce", "Ce", "Th", "Th", "Th", "Th"], "fractional_positions": [[0.000, 0.000, 0.000], [0.334, 0.334, 0.668], [0.334, 0.666, 0.000], [0.666, 0.334, 0.000], [0.666, 0.666, 0.332], [0.000, 0.327, 0.327], [0.000, 0.673, 0.673], [0.327, 0.000, 0.327], [0.673, 0.000, 0.673]]}

[4]
{"formula": "Ce3Th13", "functional": "PBE-GGA", "state": "optimized geometry", "e_form_ev_per_fu": 0.40, "energy_ev_per_fu": -113.85, "crystal_system": "orthorhombic", "lattice": [[10.060, 0.000, 0.000], [0.000, 4.979, 4.984], [0.000, -4.979, 4.984]], "species": ["Ce", "Ce", "Ce", "Th", "Th", "Th", "Th", "Th", "Th", "Th", "Th", "Th", "Th", "Th", "Th", "Th"], "fractional_positions": [[0.000, 0.000, 0.000], [0.249, 0.251, 0.251], [0.751, 0.251, 0.251], [0.000, 0.001, 0.499], [0.000, 0.499, 0.001], [0.000, 0.500, 0.500], [0.249, 0.250, 0.751], [0.249, 0.750, 0.750], [0.249, 0.751, 0.250], [0.500, 0.001, 0.001], [0.500, 0.001, 0.500], [0.500, 0.500, 0.001], [0.500, 0.501, 0.501], [0.751, 0.250, 0.751], [0.751, 0.750, 0.750], [0.751, 0.751, 0.250]]}

[5]
{"formula": "Ce4Th5", "functional": "PBE-GGA", "state": "optimized geometry", "e_form_ev_per_fu": 0.18, "relative_energy_ev_per_fu": 0.00, "energy_ev_per_fu": -60.66, "crystal_system": "tetragonal", "lattice": [[-5.220, 5.220, 2.467], [5.220, -5.220, 2.467], [5.220, 5.220, -2.467]], "species": ["Ce", "Ce", "Ce", "Ce", "Th", "Th", "Th", "Th", "Th"], "fractional_positions": [[0.166, 0.166, 0.332], [0.166, 0.834, 0.000], [0.834, 0.166, 0.000], [0.834, 0.834, 0.668], [0.168, 0.500, 0.668], [0.500, 0.168, 0.668], [0.500, 0.500, 0.000], [0.500, 0.832, 0.332], [0.832, 0.500, 0.332]]}

[6]
{"formula": "Ce3Th5", "functional": "PBE-GGA", "state": "optimized geometry", "e_form_ev_per_fu": 0.16, "energy_ev_per_fu": -54.74, "crystal_system": "orthorhombic", "lattice": [[9.831, 0.000, 0.000], [0.000, 9.876, 0.000], [0.000, 0.000, 4.968]], "species": ["Ce", "Ce", "Ce", "Ce", "Ce", "Ce", "Th", "Th", "Th", "Th", "Th", "Th", "Th", "Th", "Th", "Th"], "fractional_positions": [[0.000, 0.000, 0.000], [0.000, 0.251, 0.500], [0.000, 0.749, 0.500], [0.500, 0.249, 0.500], [0.500, 0.500, 0.000], [0.500, 0.751, 0.500], [0.000, 0.500, 0.000], [0.248, 0.000, 0.500], [0.250, 0.250, 0.000], [0.250, 0.750, 0.000], [0.252, 0.500, 0.500], [0.500, 0.000, 0.000], [0.748, 0.500, 0.500], [0.750, 0.250, 0.000], [0.750, 0.750, 0.000], [0.752, 0.000, 0.500]]}

[7]
{"formula": "CeTh5", "functional": "PBE-GGA", "state": "optimized geometry", "e_form_ev_per_fu": 0.08, "energy_ev_per_fu": -42.95, "crystal_system": "tetragonal", "lattice": [[3.553, 0.000, 0.000], [0.000, 3.553, 0.000], [0.000, 0.000, 14.869]], "species": ["Ce", "Th", "Th", "Th", "Th", "Th"], "fractional_positions": [[0.000, 0.000, 0.000], [0.000, 0.000, 0.330], [0.000, 0.000, 0.670], [0.500, 0.500, 0.162], [0.500, 0.500, 0.500], [0.500, 0.500, 0.838]]}

[8]
{"formula": "Ce2Th3", "functional": "PBE-GGA", "state": "optimized geometry", "e_form_ev_per_fu": 0.10, "relative_energy_ev_per_fu": 0.01, "energy_ev_per_fu": -34.03, "crystal_system": "trigonal", "lattice": [[3.502, 0.000, 0.000], [-1.751, 3.033, 0.000], [0.000, 0.000, 42.533]], "species": ["Ce", "Ce", "Ce", "Ce", "Ce", "Ce", "Th", "Th", "Th", "Th", "Th", "Th", "Th", "Th", "Th"], "fractional_positions": [[0.000, 0.000, 0.199], [0.000, 0.000, 0.801], [0.333, 0.667, 0.468], [0.333, 0.667, 0.865], [0.667, 0.333, 0.135], [0.667, 0.333, 0.532], [0.000, 0.000, 0.000], [0.000, 0.000, 0.402], [0.000, 0.000, 0.598], [0.333, 0.667, 0.069], [0.333, 0.667, 0.265], [0.333, 0.667, 0.667], [0.667, 0.333, 0.333], [0.667, 0.333, 0.735], [0.667, 0.333, 0.931]]}

[9]
{"formula": "Ce2Th7", "functional": "PBE-GGA", "state": "optimized geometry", "e_form_ev_per_fu": 0.15, "energy_ev_per_fu": -63.66, "crystal_system": "trigonal", "lattice": [[6.125, 0.000, 0.000], [-3.063, 5.305, 0.000], [0.000, 0.000, 8.627]], "species": ["Ce", "Ce", "Th", "Th", "Th", "Th", "Th", "Th", "Th"], "fractional_positions": [[0.333, 0.667, 0.000], [0.667, 0.333, 0.000], [0.000, 0.000, 0.000], [0.000, 0.334, 0.668], [0.000, 0.666, 0.332], [0.334, 0.000, 0.668], [0.334, 0.334, 0.332], [0.666, 0.000, 0.332], [0.666, 0.666, 0.668]]}

[10]
{"formula": "Ce8Th", "functional": "PBE-GGA", "state": "optimized geometry", "e_form_ev_per_fu": 0.97, "energy_ev_per_fu": -53.92, "crystal_system": "tetragonal", "lattice": [[-6.063, 6.063, 1.637], [6.063, -6.063, 1.637], [6.063, 6.063, -1.637]], "species": ["Ce", "Ce", "Ce", "Ce", "Ce", "Ce", "Ce", "Ce", "Th"], "fractional_positions": [[0.000, 0.335, 0.335], [0.000, 0.665, 0.665], [0.328, 0.328, 0.655], [0.328, 0.672, 0.000], [0.335, 0.000, 0.335], [0.665, 0.000, 0.665], [0.672, 0.328, 0.000], [0.672, 0.672, 0.345], [0.000, 0.000, 0.000]]}

[11]
{"formula": "Ce3Th5", "functional": "PBE-GGA", "state": "optimized geometry", "e_form_ev_per_fu": 0.16, "energy_ev_per_fu": -54.75, "crystal_system": "tetragonal", "lattice": [[3.524, 0.000, 0.000], [0.000, 3.524, 0.000], [0.000, 0.000, 19.488]], "species": ["Ce", "Ce", "Ce", "Th", "Th", "Th", "Th", "Th"], "fractional_positions": [[0.000, 0.000, 0.000], [0.500, 0.500, 0.377], [0.500, 0.500, 0.623], [0.000, 0.000, 0.252], [0.000, 0.000, 0.500], [0.000, 0.000, 0.748], [0.500, 0.500, 0.125], [0.500, 0.500, 0.875]]}

[12]
{"formula": "Ce2Th3", "functional": "PBE-GGA", "state": "optimized geometry", "e_form_ev_per_fu": 0.87, "relative_energy_ev_per_fu": 0.79, "energy_ev_per_fu": -33.26, "crystal_system": "trigonal", "lattice": [[4.830, 2.789, 3.697], [-4.830, 2.789, 3.697], [0.000, -5.578, 3.697]], "species": ["Ce", "Ce", "Ce", "Ce", "Th", "Th", "Th", "Th", "Th", "Th"], "fractional_positions": [[0.127, 0.127, 0.127], [0.373, 0.373, 0.373], [0.627, 0.627, 0.627], [0.873, 0.873, 0.873], [0.097, 0.750, 0.403], [0.250, 0.597, 0.903], [0.403, 0.097, 0.750], [0.597, 0.903, 0.250], [0.750, 0.403, 0.097], [0.903, 0.250, 0.597]]}

[13]
{"formula": "Ce7Th", "functional": "PBE-GGA", "state": "optimized geometry", "e_form_ev_per_fu": 0.04, "energy_ev_per_fu": -48.92, "crystal_system": "cubic", "lattice": [[0.000, 4.767, 4.767], [4.767, 0.000, 4.767], [4.767, 4.767, 0.000]], "species": ["Ce", "Ce", "Ce", "Ce", "Ce", "Ce", "Ce", "Th"], "fractional_positions": [[0.000, 0.000, 0.000], [0.000, 0.000, 0.500], [0.000, 0.500, 0.000], [0.000, 0.500, 0.500], [0.500, 0.000, 0.000], [0.500, 0.000, 0.500], [0.500, 0.500, 0.000], [0.500, 0.500, 0.500]]}

[14]
{"formula": "CeTh2Ti", "functional": "PBE-GGA", "state": "optimized geometry", "e_form_ev_per_fu": 0.75, "relative_energy_ev_per_fu": 0.36, "energy_ev_per_fu": -27.92, "crystal_system": "tetragonal", "lattice": [[4.931, 0.000, 0.000], [0.000, 4.931, 0.000], [0.000, 0.000, 4.501]], "species": ["Ce", "Th", "Th", "Ti"], "fractional_positions": [[0.000, 0.000, 0.000], [0.000, 0.500, 0.500], [0.500, 0.000, 0.500], [0.500, 0.500, 0.000]]}

[15]
{"formula": "CeThTi2", "functional": "PBE-GGA", "state": "optimized geometry", "e_form_ev_per_fu": 1.06, "relative_energy_ev_per_fu": 0.13, "energy_ev_per_fu": -28.09, "crystal_system": "cubic", "lattice": [[7.249, 0.000, 0.000], [0.000, 7.249, 0.000], [0.000, 0.000, 7.249]], "species": ["Ce", "Ce", "Ce", "Ce", "Th", "Th", "Th", "Th", "Ti", "Ti", "Ti", "Ti", "Ti", "Ti", "Ti", "Ti"], "fractional_positions": [[0.000, 0.000, 0.000], [0.000, 0.500, 0.500], [0.500, 0.000, 0.500], [0.500, 0.500, 0.000], [0.000, 0.000, 0.500], [0.000, 0.500, 0.000], [0.500, 0.000, 0.000], [0.500, 0.500, 0.500], [0.250, 0.250, 0.250], [0.250, 0.250, 0.750], [0.250, 0.750, 0.250], [0.250, 0.750, 0.750], [0.750, 0.250, 0.250], [0.750, 0.250, 0.750], [0.750, 0.750, 0.250], [0.750, 0.750, 0.750]]}

[16]
{"formula": "CeTh2Ti", "functional": "PBE-GGA", "state": "optimized geometry", "e_form_ev_per_fu": 0.70, "relative_energy_ev_per_fu": 0.31, "energy_ev_per_fu": -27.97, "crystal_system": "cubic", "lattice": [[7.514, 0.000, 0.000], [0.000, 7.514, 0.000], [0.000, 0.000, 7.514]], "species": ["Ce", "Ce", "Ce", "Ce", "Th", "Th", "Th", "Th", "Th", "Th", "Th", "Th", "Ti", "Ti", "Ti", "Ti"], "fractional_positions": [[0.000, 0.000, 0.000], [0.000, 0.500, 0.500], [0.500, 0.000, 0.500], [0.500, 0.500, 0.000], [0.250, 0.250, 0.250], [0.250, 0.250, 0.750], [0.250, 0.750, 0.250], [0.250, 0.750, 0.750], [0.750, 0.250, 0.250], [0.750, 0.250, 0.750], [0.750, 0.750, 0.250], [0.750, 0.750, 0.750], [0.000, 0.000, 0.500], [0.000, 0.500, 0.000], [0.500, 0.000, 0.000], [0.500, 0.500, 0.500]]}

[17]
{"formula": "CeThTi2", "functional": "PBE-GGA", "state": "optimized geometry", "e_form_ev_per_fu": 0.93, "relative_energy_ev_per_fu": 0.00, "energy_ev_per_fu": -28.22, "crystal_system": "tetragonal", "lattice": [[3.721, 0.000, 0.000], [0.000, 3.721, 0.000], [0.000, 0.000, 6.882]], "species": ["Ce", "Th", "Ti", "Ti"], "fractional_positions": [[0.000, 0.000, 0.000], [0.000, 0.000, 0.500], [0.500, 0.500, 0.205], [0.500, 0.500, 0.795]]}

[18]
{"formula": "Ce2ThTi", "functional": "PBE-GGA", "state": "optimized geometry", "e_form_ev_per_fu": 1.44, "relative_energy_ev_per_fu": 0.85, "energy_ev_per_fu": -25.74, "crystal_system": "cubic", "lattice": [[7.458, 0.000, 0.000], [0.000, 7.458, 0.000], [0.000, 0.000, 7.458]], "species": ["Ce", "Ce", "Ce", "Ce", "Ce", "Ce", "Ce", "Ce", "Th", "Th", "Th", "Th", "Ti", "Ti", "Ti", "Ti"], "fractional_positions": [[0.250, 0.250, 0.250], [0.250, 0.250, 0.750], [0.250, 0.750, 0.250], [0.250, 0.750, 0.750], [0.750, 0.250, 0.250], [0.750, 0.250, 0.750], [0.750, 0.750, 0.250], [0.750, 0.750, 0.750], [0.000, 0.000, 0.000], [0.000, 0.500, 0.500], [0.500, 0.000, 0.500], [0.500, 0.500, 0.000], [0.000, 0.000, 0.500], [0.000, 0.500, 0.000], [0.500, 0.000, 0.000], [0.500, 0.500, 0.500]]}

[19]
{"formula": "CeTh2Ti", "functional": "PBE-GGA", "state": "optimized geometry", "e_form_ev_per_fu": 1.74, "relative_energy_ev_per_fu": 1.35, "energy_ev_per_fu": -26.93, "crystal_system": "trigonal", "lattice": [[3.285, 0.000, 0.000], [-1.642, 2.845, 0.000], [0.000, 0.000, 35.576]], "species": ["Ce", "Ce", "Ce", "Th", "Th", "Th", "Th", "Th", "Th", "Ti", "Ti", "Ti"], "fractional_positions": [[0.000, 0.000, 0.000], [0.333, 0.667, 0.667], [0.667, 0.333, 0.333], [0.000, 0.000, 0.420], [0.000, 0.000, 0.580], [0.333, 0.667, 0.086], [0.333, 0.667, 0.247], [0.667, 0.333, 0.753], [0.667, 0.333, 0.914], [0.000, 0.000, 0.500], [0.333, 0.667, 0.167], [0.667, 0.333, 0.833]]}

[20]
{"formula": "CeThTi2", "functional": "PBE-GGA", "state": "optimized geometry", "e_form_ev_per_fu": 1.03, "relative_energy_ev_per_fu": 0.10, "energy_ev_per_fu": -28.12, "crystal_system": "tetragonal", "lattice": [[4.533, 0.000, 0.000], [0.000, 4.533, 0.000], [0.000, 0.000, 4.603]], "species": ["Ce", "Th", "Ti", "Ti"], "fractional_positions": [[0.000, 0.000, 0.000], [0.500, 0.500, 0.000], [0.000, 0.500, 0.500], [0.500, 0.000, 0.500]]}